Density functional theory data (GGA-PBE) for crystalline Rb4Hg2Au at its relaxed geometry.

Geometry as POSCAR:
```
Rb4Hg2Au
1.0
-3.607 2.527 -5.149
2.342 -4.904 -4.047
-6.119 -3.885 6.839
Au Hg Rb
1 2 4
Cartesian
0.000 0.000 0.000
-1.872 -2.120 -4.187
-5.513 -4.142 1.829
-4.730 -4.268 -3.239
-2.654 -1.994 0.881
1.171 -2.452 -2.024
-1.804 1.264 -2.575
```

Properties
N(E_F): 5.83 states/eV/cell
space group: I4/mmm (139)
excess energy over the best structure of this formula in the dataset: 38 meV/atom
total magnetization: 0.00 μB/f.u.
ρ: 3.89 Mg/m³

---

Density functional theory data (GGA-PBE) for crystalline RbHgAu2 at its relaxed geometry.

Geometry as POSCAR:
```
RbHgAu2
1.0
7.469 0.000 0.000
0.000 8.458 0.000
0.000 0.000 7.273
Rb Hg Au
4 4 8
Cartesian
5.602 0.067 2.600
5.602 4.296 1.036
1.867 8.391 4.673
1.867 4.162 6.236
5.602 7.025 6.107
5.602 2.795 4.802
1.867 1.434 1.166
1.867 5.663 2.470
6.998 5.495 4.094
4.206 1.266 6.815
3.264 2.963 3.179
0.471 7.193 0.457
0.471 2.963 3.179
3.264 7.193 0.457
4.206 5.495 4.094
6.998 1.266 6.815
```

Properties
N(E_F): 3.59 states/eV/cell
space group: Pnma (62)
total magnetization: 0.00 μB/f.u.
ρ: 9.83 Mg/m³

---

Density functional theory data (GGA-PBE) for crystalline Rb3HgAu6 at its relaxed geometry.

Geometry as POSCAR:
```
Rb3HgAu6
1.0
-4.463 -5.416 0.189
1.659 -6.018 -2.893
2.812 -6.724 4.110
Rb Hg Au
3 1 6
Cartesian
-0.459 -8.757 -0.973
0.466 -9.402 2.379
0.000 0.000 0.000
2.235 -6.371 0.609
-0.824 -14.728 1.495
-0.941 -5.583 -0.014
0.832 -3.432 -0.089
0.949 -12.576 1.420
-2.132 -7.277 1.910
2.140 -10.882 -0.504
```

Properties
N(E_F): 2.21 states/eV/cell
space group: C2/m (12)
total magnetization: 0.00 μB/f.u.
ρ: 9.74 Mg/m³

---

Density functional theory data (GGA-PBE) for crystalline Rb7Hg2Au2 at its relaxed geometry.

Geometry as POSCAR:
```
Rb7Hg2Au2
1.0
-0.876 -6.017 5.816
7.229 -3.977 -3.030
4.696 6.395 2.803
Rb Hg Au
7 2 2
Cartesian
4.292 2.126 0.586
4.846 -5.914 0.693
6.757 -5.726 5.003
6.202 2.315 4.896
0.000 0.000 0.000
7.322 -2.787 2.041
3.727 -0.812 3.548
6.836 -1.670 5.754
4.213 -1.929 -0.165
8.067 -6.176 1.859
2.982 2.577 3.730
```

Properties
N(E_F): 6.90 states/eV/cell
space group: Cmmm (65)
total magnetization: 0.00 μB/f.u.
ρ: 4.00 Mg/m³

---

Per-record energy of formation from the pure elements, eV/atom: -0.1505; -0.1841; -0.1541; -0.1534